No. 1
Density functional theory data (PBE-GGA) for La3SiS after structural relaxation.

The value obtained for the uncorrected formation energy is -3.61 eV/f.u. The calculation puts the density of states at the Fermi level at 5.25 states/eV/f.u. The electronic total energy is -5.590 eV/atom. The distance to the lowest polymorph of the same formula is 0 meV per atom. The calculation puts the total moment at 0.00 μB/f.u.

It has space group Pm-3m (No. 221), with a = 5.4081 Å, b = 5.4081 Å, c = 5.4081 Å, α = 90.00°, β = 90.00° and γ = 90.00°. The inequivalent atoms are La at (0.0000, 0.0000, 0.5000), Si at (0.5000, 0.5000, 0.5000) and S at (0.0000, 0.0000, 0.0000).



No. 2
Density functional theory data (PBE-GGA) for Tm2MgHg3 after structural relaxation.

The calculation puts the density of states at the Fermi level at 2.52 states/eV/f.u. The formation energy from the elements is -409.8 meV per atom. The electronic total energy is -2.317 eV/atom. The distance to the lowest polymorph of the same formula is 40 meV per atom. The calculation puts the total moment at 0.00 μB/f.u.

It has space group P4/mmm (No. 123), with a = 3.6258 Å, b = 3.6258 Å, c = 10.7585 Å, α = 90.00°, β = 90.00° and γ = 90.00°. The inequivalent atoms are Tm at (0.0000, 0.0000, 0.1731), Mg at (0.0000, 0.0000, 0.5000), Hg at (0.5000, 0.5000, 0.0000) and Hg at (0.5000, 0.5000, 0.3427).



> What is the formula in the first record?

La3SiS



> Which value of distance to the lowest polymorph of the same formula does entry 2 give?

40 meV per atom



Please write out number 1 again, unchanged.
Density functional theory data (PBE-GGA) for La3SiS after structural relaxation.

The value obtained for the uncorrected formation energy is -3.61 eV/f.u. The calculation puts the density of states at the Fermi level at 5.25 states/eV/f.u. The electronic total energy is -5.590 eV/atom. The distance to the lowest polymorph of the same formula is 0 meV per atom. The calculation puts the total moment at 0.00 μB/f.u.

It has space group Pm-3m (No. 221), with a = 5.4081 Å, b = 5.4081 Å, c = 5.4081 Å, α = 90.00°, β = 90.00° and γ = 90.00°. The inequivalent atoms are La at (0.0000, 0.0000, 0.5000), Si at (0.5000, 0.5000, 0.5000) and S at (0.0000, 0.0000, 0.0000).